(1)
! PBE PmAlZnNi, relaxed; values from VASP
! space-group type	F-43m
! magnetic moment	0.00	μB per formula unit
! formation enthalpy at 0 K	-0.343	eV per atom
! Fermi-level density of states	0.714	states/eV/atom
&SYSTEM
  ibrav = 0, nat = 4, ntyp = 4
/
ATOMIC_SPECIES
Al 26.98 Al.upf
Ni 58.69 Ni.upf
Pm 145.00 Pm.upf
Zn 65.41 Zn.upf
ATOMIC_POSITIONS crystal
Al 0.500 0.500 0.500
Ni 0.250 0.250 0.250
Pm 0.000 0.000 0.000
Zn 0.750 0.750 0.750
CELL_PARAMETERS angstrom
-2.021 3.997 -1.286
-2.406 2.501 3.110
1.690 4.064 1.532

---

(2)
! PBE PmAlZn2Ni2, relaxed; values from VASP
! space-group type	P4/mmm
! magnetic moment	0.00	μB per formula unit
! formation enthalpy at 0 K	-0.113	eV per atom
! Fermi-level density of states	0.623	states/eV/atom
&SYSTEM
  ibrav = 0, nat = 6, ntyp = 4
/
ATOMIC_SPECIES
Pm 145.00 Pm.upf
Ni 58.69 Ni.upf
Al 26.98 Al.upf
Zn 65.41 Zn.upf
ATOMIC_POSITIONS crystal
Pm 0.000 0.000 0.500
Ni 0.500 0.000 0.000
Al 0.000 0.000 0.000
Zn 0.500 0.500 0.250
Ni 0.000 0.500 0.000
Zn 0.500 0.500 0.750
CELL_PARAMETERS angstrom
-2.901 -0.762 -3.163
1.410 -4.114 -0.302
-3.833 -1.601 3.901

---

- The highest Fermi-level density of states belongs to which entry?
  PmAlZnNi

---

- What is the Fermi-level density of states in the second record?
  0.623 states/eV/atom